Below is a PBEsol-optimized structure of TcNiIr4, with properties calculated at the SCAN level.

POSCAR file:
```
TcNiIr4
1.0
5.025 0.000 0.000
2.512 4.351 0.000
2.512 1.450 4.103
Ir Ni Tc
4 1 1
Direct
0.375 0.375 0.375 Ir
0.375 0.375 0.874 Ir
0.874 0.375 0.375 Ir
0.375 0.874 0.375 Ir
0.750 0.750 0.750 Ni
0.000 0.000 0.000 Tc
```

Results
Fermi-level density of states   1.366 states/eV per atom
Calculated formation energy   0.62 eV per atom
Energy   -331.9 eV for the cell shown
SG   F-43m